Computed, not measured: ScRh2Se at its PBEsol-relaxed geometry at the SCAN level of DFT.

Output
- Total energy: -104.56 eV for the cell shown
- Formation energy (no corrections): -0.67 eV per atom
- Crystal system: tetragonal

extended XYZ file:
```
4
Lattice="-1.9401 1.9401 4.0108 1.9401 -1.9401 4.0108 1.9401 1.9401 -4.0108" Properties=species:S:1:pos:R:3 pbc="T T T"
Sc 0.0000 0.0000 0.0000
Rh 1.9401 0.0000 2.0054
Rh 0.0000 1.9401 2.0054
Se 0.0000 0.0000 4.0108
```


Computed, not measured: NaTeOs3 at its PBEsol-relaxed geometry at the SCAN level of DFT.

Output
- Total energy: -241.83 eV for the cell shown
- Formation energy (no corrections): 3.06 eV per atom
- Crystal system: cubic

extended XYZ file:
```
5
Lattice="4.4675 0.0000 0.0000 0.0000 4.4675 0.0000 0.0000 0.0000 4.4675" Properties=species:S:1:pos:R:3 pbc="T T T"
Na 0.0000 0.0000 0.0000
Te 2.2337 2.2337 2.2337
Os 0.0000 0.0000 2.2337
Os 0.0000 2.2337 0.0000
Os 2.2337 0.0000 0.0000
```


Computed, not measured: GaCoSb3 at its PBEsol-relaxed geometry at the SCAN level of DFT.

Output
- Total energy: -143.02 eV for the cell shown
- Formation energy (no corrections): 0.48 eV per atom
- Crystal system: cubic

extended XYZ file:
```
5
Lattice="4.8953 0.0000 0.0000 0.0000 4.8953 0.0000 0.0000 0.0000 4.8953" Properties=species:S:1:pos:R:3 pbc="T T T"
Ga 0.0000 0.0000 0.0000
Co 2.4477 2.4477 2.4477
Sb 0.0000 2.4477 2.4477
Sb 2.4477 0.0000 2.4477
Sb 2.4477 2.4477 0.0000
```


Computed, not measured: KZrHg2 at its PBEsol-relaxed geometry at the SCAN level of DFT.

Output
- Total energy: -175.92 eV for the cell shown
- Formation energy: -0.141 eV per atom
- Crystal system: orthorhombic

extended XYZ file:
```
4
Lattice="3.0442 0.0000 0.0000 0.0000 5.5574 0.0000 0.0000 0.0000 5.5658" Properties=species:S:1:pos:R:3 pbc="T T T"
K 0.0000 0.0000 0.0000
Zr 0.0000 2.7787 2.8519
Hg 1.5221 0.0000 2.7845
Hg 1.5221 2.7787 0.0911
```


Q: What is the total energy in the second record?
A: -241.83 eV for the cell shown


Q: Which formula does entry 4 have?
A: KZrHg2


Q: Which formula does entry 3 have?
A: GaCoSb3